[1]
Below is a geometry-optimized MnSbRh2 structure, with properties calculated at the PBE-GGA level.

Cell: 8.455 8.455 8.455 Å, 20.80 20.80 20.80°
Atoms (fractional coordinates):
Mn1 0.000 0.000 0.000
Sb1 0.243 0.243 0.243
Rh1 0.495 0.495 0.495
Rh2 0.740 0.740 0.740

## Properties
space group: R3m
DOS at the Fermi energy: 1.16 states/eV per atom
total moment: 3.68 μB/cell
ΔE_f (raw): 0.82 eV per formula unit

[2]
Below is a geometry-optimized NaGa6Ag6 structure, with properties calculated at the PBE-GGA level.

Cell: 7.202 7.202 7.202 Å, 134.53 100.88 96.31°
Atoms (fractional coordinates):
Na1 0.000 0.000 0.000
Ga1 0.222 0.722 0.500
Ga2 0.354 0.000 0.354
Ga3 0.363 0.363 0.000
Ga4 0.637 0.637 0.000
Ga5 0.646 0.000 0.646
Ga6 0.778 0.278 0.500
Ag1 0.000 0.000 0.500
Ag2 0.000 0.500 0.000
Ag3 0.189 0.500 0.689
Ag4 0.500 0.000 0.000
Ag5 0.500 0.500 0.500
Ag6 0.811 0.500 0.311

## Properties
space group: Immm
energy relative to the elements: -40 meV/atom
excess energy over the best structure of this formula in the dataset: 0 meV/atom
DOS at the Fermi energy: 0.24 states/eV per atom
total moment: 0.00 μB/cell